1.
# CdClO

A geometry-optimized CdClO structure (GGA-PBE, the Alexandria database).

Lattice parameters (Å, degrees): 7.288 3.752 9.750 90.00 109.62 90.00
Space group C2/m (No. 12)
Asymmetric unit:
Cd  0.113  0.000  0.336 (multiplicity 4)
Cl  0.236  0.500  0.191 (multiplicity 4)
O  0.085  0.500  0.474 (multiplicity 4)

## Properties
For the energy relative to the lowest polymorph listed for this composition, the calculation gives 0.0 meV/atom. The density of states at the Fermi level comes out at 0.00 states/eV/f.u. Its spin magnetization is 0.000 Bohr magnetons per cell. The uncorrected formation energy comes out at -822 meV per atom.



2.
# CdCl3O

A geometry-optimized CdCl3O structure (GGA-PBE, the Alexandria database).

Lattice parameters (Å, degrees): 5.194 5.194 5.194 90.00 90.00 90.00
Space group Pm-3m (No. 221)
Asymmetric unit:
Cd  0.000  0.000  0.000 (multiplicity 1)
Cl  0.000  0.000  0.500 (multiplicity 3)
O  0.500  0.500  0.500 (multiplicity 1)

## Properties
For the energy relative to the lowest polymorph listed for this composition, the calculation gives 0.0 meV/atom. The density of states at the Fermi level comes out at 11.44 states/eV/f.u. Its spin magnetization is 3.000 Bohr magnetons per cell. The uncorrected formation energy comes out at 223 meV per atom.



3.
# Cd4Cl3O2

A geometry-optimized Cd4Cl3O2 structure (GGA-PBE, the Alexandria database).

Lattice parameters (Å, degrees): 13.389 4.074 9.754 90.00 123.69 90.00
Space group C2/m (No. 12)
Asymmetric unit:
Cd  0.145  0.000  0.375 (multiplicity 4)
Cd  0.194  0.500  0.122 (multiplicity 4)
Cl  0.000  0.000  0.000 (multiplicity 2)
Cl  0.146  0.500  0.824 (multiplicity 4)
O  0.201  0.500  0.347 (multiplicity 4)

## Properties
The density of states at the Fermi level comes out at 1.13 states/eV/f.u. Its spin magnetization is 0.000 Bohr magnetons per cell. The uncorrected formation energy comes out at -854 meV per atom.



4.
# Cd3Cl2O2

A geometry-optimized Cd3Cl2O2 structure (GGA-PBE, the Alexandria database).

Lattice parameters (Å, degrees): 6.543 6.841 6.754 90.00 115.94 90.00
Space group P2_1/c (No. 14)
Asymmetric unit:
Cd  0.000  0.000  0.000 (multiplicity 2)
Cd  0.414  0.128  0.771 (multiplicity 4)
Cl  0.193  0.634  0.937 (multiplicity 4)
O  0.331  0.112  0.063 (multiplicity 4)

## Properties
Its spin magnetization is 0.000 Bohr magnetons per cell. The uncorrected formation energy comes out at -1064 meV per atom.



5.
# Cd2Cl3O2

A geometry-optimized Cd2Cl3O2 structure (GGA-PBE, the Alexandria database).

Lattice parameters (Å, degrees): 3.976 6.701 6.720 74.53 84.41 73.42
Space group P-1 (No. 2)
Asymmetric unit:
Cd  0.146  0.255  0.366 (multiplicity 2)
Cl  0.221  0.981  0.731 (multiplicity 2)
Cl  0.500  0.500  0.500 (multiplicity 1)
O  0.100  0.513  0.067 (multiplicity 2)

## Properties
Its spin magnetization is 1.003 Bohr magnetons per cell. The uncorrected formation energy comes out at -725 meV per atom.



6.
# CdClO

A geometry-optimized CdClO structure (GGA-PBE, the Alexandria database).

Lattice parameters (Å, degrees): 6.4561 6.4561 11.6847 90.00 90.00 120.00
Space group P-62c (No. 190)
Asymmetric unit:
Cd  0.0000  0.0000  0.2500 (multiplicity 2)
Cd  0.3333  0.6667  0.1090 (multiplicity 4)
Cl  0.0000  0.3087  0.0000 (multiplicity 6)
O  0.1616  0.7805  0.2500 (multiplicity 6)

## Properties
For the energy relative to the lowest polymorph listed for this composition, the calculation gives 382.0 meV/atom. The density of states at the Fermi level comes out at 2.11 states/eV/f.u. Its spin magnetization is 6.010 Bohr magnetons per cell. The uncorrected formation energy comes out at -440 meV per atom.



7.
# CdCl3O

A geometry-optimized CdCl3O structure (GGA-PBE, the Alexandria database).

Lattice parameters (Å, degrees): 4.560 4.560 4.560 90.00 90.00 90.00
Space group Pm-3m (No. 221)
Asymmetric unit:
Cd  0.000  0.000  0.000 (multiplicity 1)
Cl  0.000  0.500  0.500 (multiplicity 3)
O  0.500  0.500  0.500 (multiplicity 1)

## Properties
For the energy relative to the lowest polymorph listed for this composition, the calculation gives 17.2 meV/atom. The density of states at the Fermi level comes out at 1.81 states/eV/f.u. Its spin magnetization is 0.000 Bohr magnetons per cell. The uncorrected formation energy comes out at 240 meV per atom.



8.
# CdClO

A geometry-optimized CdClO structure (GGA-PBE, the Alexandria database).

Lattice parameters (Å, degrees): 3.8326 3.8326 9.4522 90.00 90.00 120.00
Space group P6_3mc (No. 186)
Asymmetric unit:
Cd  0.3333  0.6667  0.0000 (multiplicity 2)
Cl  0.3333  0.6667  0.6820 (multiplicity 2)
O  0.0000  0.0000  0.4444 (multiplicity 2)

## Properties
For the energy relative to the lowest polymorph listed for this composition, the calculation gives 344.1 meV/atom. The density of states at the Fermi level comes out at 0.98 states/eV/f.u. Its spin magnetization is 2.003 Bohr magnetons per cell. The uncorrected formation energy comes out at -478 meV per atom.